No. 1
A plane-wave DFT calculation with PBE-GGA was carried out for GaCu2P2 after structural relaxation.

```
GaCu2P2
1.0
-2.4025 1.4972 -2.2690
-2.6037 -0.3968 2.4951
-1.2597 5.7698 2.2406
P Ga Cu
2 1 2
direct
0.7500 0.2500 0.5000
0.2500 0.7500 0.5000
0.0000 0.0000 0.0000
0.6059 0.6059 0.7882
0.3941 0.3941 0.2118
```

The formation energy comes out at 209.1 meV/atom.


No. 2
A plane-wave DFT calculation with PBE-GGA was carried out for ScNbBi2 after structural relaxation.

```
ScNbBi2
1.0
-0.1482 -1.3892 -3.1917
2.9402 -0.7083 -1.7298
1.0705 -10.1616 2.4717
Bi Sc Nb
2 1 1
direct
0.0973 0.0973 0.7082
0.9027 0.9027 0.2918
0.0000 0.0000 0.0000
0.5000 0.5000 0.5000
```

The relative energy among the computed polymorphs comes out at 250.9 meV/atom. The formation energy comes out at 201.6 meV/atom.


No. 3
A plane-wave DFT calculation with PBE-GGA was carried out for Ti3O5 after structural relaxation.

```
Ti3O5
1.0
-2.0101 0.8934 5.2657
-2.7439 -3.7361 3.3285
4.6194 -2.7517 4.8259
O Ti
10 6
direct
0.9235 0.2389 0.5576
0.7611 0.0765 0.9424
0.6901 0.3099 0.2500
0.2389 0.9235 0.0576
0.0765 0.7611 0.4424
0.3099 0.6901 0.7500
0.5337 0.8474 0.3451
0.8474 0.5337 0.8451
0.1526 0.4663 0.1549
0.4663 0.1526 0.6549
0.5000 0.5000 0.5000
0.5000 0.5000 0.0000
0.1224 0.1345 0.2831
0.8776 0.8655 0.7169
0.1345 0.1224 0.7831
0.8655 0.8776 0.2169
```

The relative energy among the computed polymorphs comes out at 18.5 meV/atom. As for the formation energy from raw total energies: -23.4 eV per formula unit.


No. 4
A plane-wave DFT calculation with PBE-GGA was carried out for ScRuAu2 after structural relaxation.

```
ScRuAu2
1.0
0.0000 3.2780 3.2780
3.2780 0.0000 3.2780
3.2780 3.2780 0.0000
Au Sc Ru
2 1 1
direct
0.2500 0.2500 0.2500
0.7500 0.7500 0.7500
0.0000 0.0000 0.0000
0.5000 0.5000 0.5000
```

The formation energy comes out at -204.0 meV/atom.


No. 5
A plane-wave DFT calculation with PBE-GGA was carried out for Be2NiHg after structural relaxation.

```
Be2NiHg
1.0
2.8846 0.0000 0.0000
0.0000 2.8839 0.0000
0.0000 0.0000 5.8273
Be Ni Hg
2 1 1
direct
0.0000 0.0000 0.9924
0.5000 0.5000 0.1934
0.5000 0.5000 0.8260
0.0000 0.0000 0.4882
```

The formation energy comes out at 106.7 meV/atom.


No. 6
A plane-wave DFT calculation with PBE-GGA was carried out for TmPaSn4 after structural relaxation.

```
TmPaSn4
1.0
-0.2923 -5.1330 -1.6878
5.3860 -0.4128 0.3224
-0.8511 -3.2539 10.0523
Sn Tm Pa
8 2 2
direct
0.0003 0.0000 0.6741
0.5003 0.5000 0.6741
0.5003 0.0000 0.8189
0.9997 0.5000 0.1811
0.4997 0.5000 0.3259
0.9997 0.0000 0.3259
0.4997 0.0000 0.1811
0.0003 0.5000 0.8189
0.0000 0.0000 0.0000
0.5000 0.5000 0.0000
0.5000 0.0000 0.5000
0.0000 0.5000 0.5000
```

The formation energy comes out at -195.5 meV/atom.


No. 7
A plane-wave DFT calculation with PBE-GGA was carried out for ZrPdRh after structural relaxation.

```
ZrPdRh
1.0
-0.8349 -4.9036 -0.3883
4.1831 -0.8620 1.8913
-1.3965 2.4068 4.1856
Zr Rh Pd
2 2 2
direct
0.7745 0.7500 0.9890
0.2255 0.2500 0.0110
0.5179 0.2500 0.6744
0.4821 0.7500 0.3256
0.1457 0.7500 0.6524
0.8543 0.2500 0.3476
```

The relative energy among the computed polymorphs comes out at 133.5 meV/atom. The formation energy comes out at -649.6 meV/atom.


No. 8
A plane-wave DFT calculation with PBE-GGA was carried out for NiGeCl3 after structural relaxation.

```
NiGeCl3
1.0
4.6393 0.0000 0.0000
0.0000 4.6393 0.0000
0.0000 0.0000 4.6393
Cl Ni Ge
3 1 1
direct
0.0000 0.5000 0.0000
0.0000 0.0000 0.5000
0.5000 0.0000 0.0000
0.0000 0.0000 0.0000
0.5000 0.5000 0.5000
```

The relative energy among the computed polymorphs comes out at 0.0 meV/atom. As for the formation energy from raw total energies: -0.9 eV per formula unit.


No. 9
A plane-wave DFT calculation with PBE-GGA was carried out for NbGaIr2Au after structural relaxation.

```
NbGaIr2Au
1.0
-2.1335 -3.7198 2.4275
3.8613 -0.8751 2.0527
-1.2358 3.0837 3.6393
Ir Nb Au Ga
2 1 1 1
direct
0.5000 0.0000 0.0000
0.0000 0.0000 0.5000
0.5000 0.5000 0.5000
0.0000 0.0000 0.0000
0.0000 0.5000 0.0000
```

The formation energy comes out at 1643.3 meV/atom.


No. 10
A plane-wave DFT calculation with PBE-GGA was carried out for LiTlSn3 after structural relaxation.

```
LiTlSn3
1.0
5.1480 0.0000 0.0000
0.0000 5.1480 0.0000
0.0000 0.0000 5.1480
Li Sn Tl
1 3 1
direct
0.0000 0.0000 0.0000
0.0000 0.5000 0.0000
0.5000 0.0000 0.0000
0.0000 0.0000 0.5000
0.5000 0.5000 0.5000
```

The relative energy among the computed polymorphs comes out at 212.7 meV/atom. The formation energy comes out at 136.8 meV/atom.


No. 11
A plane-wave DFT calculation with PBE-GGA was carried out for KAu2Cl2 after structural relaxation.

```
KAu2Cl2
1.0
-1.8140 3.2649 -1.1780
-3.4677 -1.6478 0.7730
-2.3323 3.7161 7.3806
Cl K Au
2 1 2
direct
0.6035 0.6035 0.7930
0.3965 0.3965 0.2070
0.0000 0.0000 0.0000
0.2500 0.7500 0.5000
0.7500 0.2500 0.5000
```

The relative energy among the computed polymorphs comes out at 0.0 meV/atom. As for the formation energy from raw total energies: -2.7 eV per formula unit.


No. 12
A plane-wave DFT calculation with PBE-GGA was carried out for Ta12Mn3Re5 after structural relaxation.

```
Ta12Mn3Re5
1.0
-10.9543 -4.2424 -5.3502
7.8809 -9.9907 2.1671
-2.6663 5.8804 11.1773
Re Ta Mn
20 48 12
direct
0.3750 0.2500 0.1250
0.7500 0.1250 0.8750
0.0000 0.0000 0.5000
0.6250 0.8750 0.2500
0.2500 0.3750 0.6250
0.5000 0.0000 0.0000
0.7500 0.6250 0.3750
0.5000 0.5000 0.5000
0.0000 0.0000 0.0000
0.1250 0.3750 0.2500
0.8750 0.6250 0.7500
0.6250 0.7500 0.8750
0.5000 0.5000 0.0000
0.8750 0.2500 0.6250
0.0000 0.5000 0.0000
0.0000 0.5000 0.5000
0.5000 0.0000 0.5000
0.2500 0.8750 0.1250
0.1250 0.7500 0.3750
0.3750 0.1250 0.7500
0.9380 0.1067 0.8741
0.5620 0.9361 0.6687
0.3741 0.9361 0.7674
0.1259 0.3933 0.0620
0.6687 0.2326 0.6067
0.7326 0.6067 0.1687
0.4361 0.7674 0.8741
0.8313 0.8933 0.2674
0.1067 0.1687 0.2326
0.7326 0.1259 0.0639
0.4361 0.6687 0.0620
0.3933 0.1259 0.5620
0.1259 0.7326 0.5639
0.8313 0.9380 0.0639
0.6259 0.5620 0.8933
0.2326 0.6687 0.1067
0.9361 0.5620 0.1687
0.8933 0.0620 0.6259
0.1067 0.9380 0.3741
0.5639 0.3313 0.9380
0.6067 0.7326 0.6687
0.8741 0.2674 0.4361
0.5639 0.2326 0.1259
0.7674 0.3313 0.8933
0.4380 0.3741 0.6067
0.6067 0.8741 0.4380
0.0620 0.1687 0.4361
0.0620 0.8933 0.1259
0.8741 0.6067 0.9380
0.5620 0.6259 0.3933
0.3741 0.4380 0.1067
0.8933 0.8313 0.7674
0.4380 0.0639 0.3313
0.0639 0.6259 0.7326
0.9380 0.8313 0.5639
0.6687 0.4361 0.5620
0.1687 0.0620 0.9361
0.7674 0.4361 0.3741
0.6259 0.0639 0.2326
0.3933 0.2674 0.3313
0.3313 0.7674 0.3933
0.2674 0.8741 0.9361
0.9361 0.3741 0.2674
0.2326 0.5639 0.6259
0.2674 0.3933 0.8313
0.1687 0.1067 0.7326
0.3313 0.5639 0.4380
0.0639 0.4380 0.8313
0.8750 0.7500 0.1250
0.7500 0.3750 0.1250
0.6250 0.2500 0.3750
0.6250 0.3750 0.7500
0.8750 0.1250 0.2500
0.2500 0.6250 0.8750
0.7500 0.8750 0.6250
0.1250 0.2500 0.8750
0.2500 0.1250 0.3750
0.1250 0.8750 0.7500
0.3750 0.6250 0.2500
0.3750 0.7500 0.6250
```

The formation energy comes out at 1164.6 meV/atom.


No. 13
A plane-wave DFT calculation with PBE-GGA was carried out for YMg2Rh after structural relaxation.

```
YMg2Rh
1.0
-9.4836 0.4040 -2.6174
-8.9059 -2.6848 -3.2293
-9.6845 -1.7585 -0.2654
Mg Y Rh
2 1 1
direct
0.5173 0.5173 0.5173
0.9827 0.9827 0.9827
0.7500 0.7500 0.7500
0.2500 0.2500 0.2500
```

The formation energy comes out at -72.6 meV/atom.


No. 14
A plane-wave DFT calculation with PBE-GGA was carried out for CaCu3Ir4O12 after structural relaxation.

```
CaCu3Ir4O12
1.0
-1.9796 5.0243 3.6651
-5.0880 -3.8693 -1.3180
4.5369 -3.3982 3.2349
O Ir Cu Ca
12 4 3 1
direct
0.8635 0.6947 0.1687
0.1365 0.3053 0.8313
0.8313 0.1365 0.3053
0.8313 0.5260 0.6947
0.1687 0.4740 0.3053
0.6947 0.1687 0.8635
0.6947 0.8313 0.5260
0.3053 0.1687 0.4740
0.1687 0.8635 0.6947
0.5260 0.6947 0.8313
0.3053 0.8313 0.1365
0.4740 0.3053 0.1687
0.0000 0.0000 0.5000
0.5000 0.5000 0.5000
0.0000 0.5000 0.0000
0.5000 0.0000 0.0000
0.0000 0.5000 0.5000
0.5000 0.5000 0.0000
0.5000 0.0000 0.5000
0.0000 0.0000 0.0000
```

As for the formation energy from raw total energies: -17.6 eV per formula unit.


No. 15
A plane-wave DFT calculation with PBE-GGA was carried out for BaIn2Os after structural relaxation.

```
BaIn2Os
1.0
7.9385 0.0068 -0.0057
5.9779 5.2235 0.0057
-6.6630 -3.4006 2.6571
In Ba Os
2 1 1
direct
0.0072 0.0072 0.0000
0.6618 0.1618 0.5000
0.3180 0.8180 0.5000
0.5131 0.5131 0.0000
```

The formation energy comes out at 204.7 meV/atom.


No. 16
A plane-wave DFT calculation with PBE-GGA was carried out for CaPuS2 after structural relaxation.

```
CaPuS2
1.0
3.9288 0.0000 0.0000
1.9644 3.4024 0.0000
1.9644 1.1341 6.9448
S Pu Ca
2 1 1
direct
0.2523 0.2523 0.2431
0.0815 0.0815 0.7554
0.6691 0.6691 0.9926
0.4970 0.4970 0.5089
```

The relative energy among the computed polymorphs comes out at 106.9 meV/atom. As for the formation energy from raw total energies: -7.2 eV per formula unit.


No. 17
A plane-wave DFT calculation with PBE-GGA was carried out for NaSm2PbO5 after structural relaxation.

```
NaSm2PbO5
1.0
6.7797 0.0000 0.0000
0.0000 6.7797 0.0000
-3.3898 -3.3898 6.3396
Pb O Na Sm
2 10 2 4
direct
0.7500 0.2500 0.5000
0.2500 0.7500 0.5000
0.4701 0.2644 0.2345
0.2356 0.0299 0.7655
0.5299 0.7356 0.7655
0.9701 0.4701 0.2345
0.0299 0.5299 0.7655
0.0000 0.0000 0.0000
0.7356 0.2356 0.7655
0.2644 0.7644 0.2345
0.5000 0.5000 0.0000
0.7644 0.9701 0.2345
0.7500 0.7500 0.5000
0.2500 0.2500 0.5000
0.1760 0.3240 0.0000
0.3240 0.8240 0.0000
0.8240 0.6760 0.0000
0.6760 0.1760 0.0000
```

As for the formation energy from raw total energies: -19.5 eV per formula unit.


No. 18
A plane-wave DFT calculation with PBE-GGA was carried out for TmRh4Pb3 after structural relaxation.

```
TmRh4Pb3
1.0
4.4083 0.0000 -1.1900
-0.3158 4.4024 -1.1699
-0.2155 -0.2604 7.9623
Rh Tm Pb
4 1 3
direct
0.6235 0.6226 0.2471
0.3765 0.3774 0.7529
0.8765 0.8774 0.7529
0.1235 0.1226 0.2471
0.5000 0.0000 0.0000
0.0000 0.5000 0.0000
0.7491 0.2492 0.4982
0.2509 0.7508 0.5018
```

The formation energy comes out at -258.3 meV/atom.


No. 19
A plane-wave DFT calculation with PBE-GGA was carried out for ErH4I3O11 after structural relaxation.

```
ErH4I3O11
1.0
-2.9670 3.1062 5.9699
4.4203 -1.6803 6.0946
5.9557 7.4196 0.0931
O H I Er
22 8 6 2
direct
0.6564 0.6792 0.9366
0.1996 0.4257 0.5557
0.2090 0.7885 0.4283
0.0755 0.4755 0.8478
0.8004 0.5743 0.4443
0.1324 0.9665 0.6839
0.4984 0.5987 0.2733
0.1092 0.2346 0.3650
0.2947 0.6762 0.9079
0.3110 0.1120 0.8505
0.5016 0.4013 0.7267
0.8676 0.0335 0.3161
0.7422 0.0591 0.8535
0.3436 0.3208 0.0634
0.8908 0.7654 0.6350
0.2578 0.9409 0.1465
0.4840 0.2453 0.3827
0.6890 0.8880 0.1495
0.5160 0.7547 0.6173
0.7910 0.2115 0.5717
0.9245 0.5245 0.1522
0.7053 0.3238 0.0921
0.6778 0.4482 0.0296
0.1888 0.0258 0.7448
0.3222 0.5518 0.9704
0.0171 0.0602 0.6377
0.6026 0.2738 0.0745
0.3974 0.7262 0.9255
0.9829 0.9398 0.3623
0.8112 0.9742 0.2552
0.1680 0.2549 0.9787
0.8320 0.7451 0.0213
0.5975 0.1597 0.6955
0.7632 0.5962 0.6343
0.4025 0.8403 0.3045
0.2368 0.4038 0.3657
0.2283 0.6569 0.6722
0.7717 0.3431 0.3278
```

The energy comes out at -5.08 eV/atom.


No. 20
A plane-wave DFT calculation with PBE-GGA was carried out for CsRuSeBr2 after structural relaxation.

```
CsRuSeBr2
1.0
-4.5306 0.9170 3.0708
1.4025 -4.2139 3.3276
2.4404 2.9580 2.7173
Se Br Ru Cs
1 2 1 1
direct
0.0000 0.0000 0.5000
0.5000 0.0000 0.0000
0.0000 0.5000 0.0000
0.0000 0.0000 0.0000
0.5000 0.5000 0.5000
```

The relative energy among the computed polymorphs comes out at 0.0 meV/atom. As for the formation energy from raw total energies: -2.7 eV per formula unit.